No. 1
Material: LiFeBi2
Method: DFT, SCAN
State: PBEsol geometry

The structure belongs to space group I-42d (No. 122); the cell edges are 7.678, 7.678 and 6.366 Å and the angles 90.00°, 90.00° and 90.00°. The asymmetric unit holds Li at (0.000, 0.000, 0.000), Fe at (0.000, 0.000, 0.500) and Bi at (0.213, 0.250, 0.625).

The density of states at the Fermi level comes out at 1.85 states/eV/f.u. The volume comes out at 375 Å³/cell. The total energy comes out at -44.193 eV/atom.

No. 2
Material: Li2FeBi2
Method: DFT, SCAN
State: PBEsol geometry

The structure belongs to space group P4/mbm (No. 127); the cell edges are 6.961, 6.961 and 4.436 Å and the angles 90.00°, 90.00° and 90.00°. The asymmetric unit holds Li at (0.155, 0.345, 0.000), Fe at (0.000, 0.000, 0.500) and Bi at (0.158, 0.658, 0.500).

The density of states at the Fermi level comes out at 1.76 states/eV/f.u. The volume comes out at 215 Å³/cell. The total energy comes out at -36.076 eV/atom.

Question: Look up the total energy of the second one.
Answer: -36.076 eV/atom